RbNi2PdF8: optimized geometry, GGA+U.

Calculated values
The calculation puts the calculated total energy at -48.88 eV/cell. The density is 3.89 Mg/m³.

Cell lengths 4.761, 4.893, 8.530 Å; angles 96.34, 90.40, 94.10 degrees
Space group P-1 (No. 2)
Asymmetric unit:
Rb: 0.000 0.000 0.000 x1
Ni: 0.491 0.544 0.681 x2
Pd: 0.000 0.000 0.500 x1
F: 0.151 0.210 0.328 x2
F: 0.167 0.256 0.682 x2
F: 0.350 0.715 0.494 x2
F: 0.435 0.702 0.885 x2